NbV2Ga2 after structural relaxation. Source: Alexandria via LeMat-Bulk, functional PBE.

a b c (Å): 6.8377 6.8377 3.2455
angles (deg): 90.00 90.00 90.00
Sites, in units of the cell vectors:
Nb: 0.0000 0.0000 0.0000
Nb: 0.5000 0.5000 0.0000
Ga: 0.3731 0.8731 0.0000
Ga: 0.8731 0.6269 0.0000
Ga: 0.6269 0.1269 0.0000
Ga: 0.1269 0.3731 0.0000
V: 0.1742 0.6742 0.5000
V: 0.6742 0.8258 0.5000
V: 0.8258 0.3258 0.5000
V: 0.3258 0.1742 0.5000

ρ ... 7.32 g cm⁻³
DFT total energy ... -70.6 eV per cell
Magnetization ... 0.00 μB per cell